CdCuOs2 PBE optimized geometry; E = -6.339 eV per atom
1.0
1.377 0.795 9.169
-1.377 0.795 9.169
0.000 -1.591 9.169
Cd Cu Os
1 1 2
Cartesian
0.000 0.000 0.000
0.000 0.000 13.754
0.000 0.000 6.691
0.000 0.000 20.817